Record 1
Here is crystalline K2ScCr at its relaxed geometry from Alexandria via LeMat-Bulk. Energies are from PBE.

For the size of the total moment, the calculation gives 3.84 Bohr magnetons per cell. The formation energy is 0.62 eV per atom. The crystal system is tetragonal. The calculation puts the calculated total energy at -3.92 eV/atom.

Lattice parameters (Å, degrees): 3.714 3.714 10.904 90.00 90.00 90.00
Site moments in Bohr magnetons follow the coordinates.
Fractional coordinates of all 4 atoms:
K: 0.000 0.000 0.929  0.01
K: 0.500 0.500 0.301  -0.01
Cr: 0.500 0.500 0.688  3.59
Sc: 0.000 0.000 0.582  -0.10

Record 2
Here is crystalline KScCr2 at its relaxed geometry from Alexandria via LeMat-Bulk. Energies are from PBE.

For the size of the total moment, the calculation gives 8.49 Bohr magnetons per cell. The formation energy is 0.83 eV per atom. The crystal system is tetragonal. The calculation puts the calculated total energy at -5.84 eV/atom.

Lattice parameters (Å, degrees): 3.403 3.400 8.855 90.00 90.00 90.00
Site moments in Bohr magnetons follow the coordinates.
Fractional coordinates of all 4 atoms:
Sc: 0.500 0.500 0.750  -0.09
K: 0.500 0.500 0.250  0.03
Cr: 0.000 0.000 0.564  3.67
Cr: 0.000 0.000 0.936  3.67

Record 3
Here is crystalline K2ScCr at its relaxed geometry from Alexandria via LeMat-Bulk. Energies are from PBE.

For the size of the total moment, the calculation gives 5.80 Bohr magnetons per cell. The formation energy is 1.01 eV per atom. The crystal system is tetragonal. The calculation puts the calculated total energy at -3.53 eV/atom.

Lattice parameters (Å, degrees): 5.819 5.819 5.819 120.12 120.12 89.80
Site moments in Bohr magnetons follow the coordinates.
Fractional coordinates of all 4 atoms:
K: 0.250 0.750 0.500  0.01
K: 0.000 0.000 0.000  0.02
Cr: 0.750 0.250 0.500  4.03
Sc: 0.500 0.500 0.000  0.45

Record 4
Here is crystalline KSc2Cr at its relaxed geometry from Alexandria via LeMat-Bulk. Energies are from PBE.

For the size of the total moment, the calculation gives 2.20 Bohr magnetons per cell. The formation energy is 0.67 eV per atom. The crystal system is monoclinic. The calculation puts the calculated total energy at -5.18 eV/atom.

Lattice parameters (Å, degrees): 5.151 5.151 7.989 84.91 84.91 35.94
Site moments in Bohr magnetons follow the coordinates.
Fractional coordinates of all 4 atoms:
Cr: 0.498 0.498 0.623  2.99
K: 0.235 0.235 0.267  0.00
Sc: 0.009 0.009 0.903  -0.39
Sc: 0.758 0.758 0.707  -0.35

Record 5
Here is crystalline KScCr2 at its relaxed geometry from Alexandria via LeMat-Bulk. Energies are from PBE.

For the size of the total moment, the calculation gives 1.51 Bohr magnetons per cell. The formation energy is 0.56 eV per atom. The crystal system is tetragonal. The calculation puts the calculated total energy at -6.11 eV/atom.

Lattice parameters (Å, degrees): 3.143 3.143 9.293 90.00 90.00 90.01
Site moments in Bohr magnetons follow the coordinates.
Fractional coordinates of all 4 atoms:
Sc: 0.500 0.500 0.847  0.22
Cr: 0.500 0.500 0.154  2.54
Cr: 0.000 0.000 0.038  -1.67
K: 0.000 0.000 0.461  0.03

Record 6
Here is crystalline KScCr2 at its relaxed geometry from Alexandria via LeMat-Bulk. Energies are from PBE.

For the size of the total moment, the calculation gives 8.26 Bohr magnetons per cell. The formation energy is 1.21 eV per atom. The crystal system is cubic. The calculation puts the calculated total energy at -5.46 eV/atom.

Lattice parameters (Å, degrees): 5.199 5.199 5.199 60.00 60.00 60.00
Site moments in Bohr magnetons follow the coordinates.
Fractional coordinates of all 4 atoms:
Sc: 0.500 0.500 0.500  -0.17
K: 0.000 0.000 0.000  0.02
Cr: 0.250 0.250 0.250  3.72
Cr: 0.750 0.750 0.750  3.72

Record 7
Here is crystalline K2ScCr at its relaxed geometry from Alexandria via LeMat-Bulk. Energies are from PBE.

For the size of the total moment, the calculation gives 3.66 Bohr magnetons per cell. The formation energy is 0.76 eV per atom. The crystal system is monoclinic. The calculation puts the calculated total energy at -3.78 eV/atom.

Lattice parameters (Å, degrees): 3.819 3.819 12.299 85.05 85.05 54.35
Site moments in Bohr magnetons follow the coordinates.
Fractional coordinates of all 4 atoms:
Sc: 0.480 0.480 0.562  -0.20
K: 0.242 0.242 0.283  0.00
Cr: 0.760 0.760 0.712  3.63
K: 0.018 0.018 0.943  0.01

Record 8
Here is crystalline KScCr2 at its relaxed geometry from Alexandria via LeMat-Bulk. Energies are from PBE.

For the size of the total moment, the calculation gives 0.00 Bohr magnetons per cell. The formation energy is 0.82 eV per atom. The crystal system is monoclinic. The calculation puts the calculated total energy at -5.85 eV/atom.

Lattice parameters (Å, degrees): 4.473 3.137 7.892 66.74 90.00 90.00
Fractional coordinates of all 4 atoms:
Sc: 0.500 0.750 0.750
K: 0.500 0.250 0.250
Cr: 0.000 0.125 0.876
Cr: 0.000 0.375 0.624

Record 9
Here is crystalline KSc3Cr at its relaxed geometry from Alexandria via LeMat-Bulk. Energies are from PBE.

For the size of the total moment, the calculation gives 1.91 Bohr magnetons per cell. The formation energy is 0.54 eV per atom. The crystal system is cubic. The calculation puts the calculated total energy at -5.40 eV/atom.

Lattice parameters (Å, degrees): 5.172 5.172 5.172 90.00 90.00 90.00
Site moments in Bohr magnetons follow the coordinates.
Fractional coordinates of all 5 atoms:
Sc: 0.000 0.500 0.000  -0.01
Sc: 0.500 0.000 0.000  0.08
Cr: 0.000 0.000 0.000  1.84
K: 0.500 0.500 0.500  0.00
Sc: 0.000 0.000 0.500  -0.04

Record 10
Here is crystalline KScCr2 at its relaxed geometry from Alexandria via LeMat-Bulk. Energies are from PBE.

For the size of the total moment, the calculation gives 0.14 Bohr magnetons per cell. The formation energy is 0.72 eV per atom. The crystal system is monoclinic. The calculation puts the calculated total energy at -5.95 eV/atom.

Lattice parameters (Å, degrees): 4.169 4.169 8.513 87.72 87.72 43.13
Site moments in Bohr magnetons follow the coordinates.
Fractional coordinates of all 4 atoms:
Cr: 0.739 0.739 0.862  2.60
Sc: 0.264 0.264 0.144  -0.17
K: 0.491 0.491 0.540  0.00
Cr: 0.006 0.006 0.954  -2.29

Record 11
Here is crystalline KSc2Cr at its relaxed geometry from Alexandria via LeMat-Bulk. Energies are from PBE.

For the size of the total moment, the calculation gives 1.86 Bohr magnetons per cell. The formation energy is 1.01 eV per atom. The crystal system is cubic. The calculation puts the calculated total energy at -4.84 eV/atom.

Lattice parameters (Å, degrees): 7.282 7.282 7.286 60.02 60.02 90.00
Site moments in Bohr magnetons follow the coordinates.
Fractional coordinates of all 8 atoms:
Cr: 0.750 0.250 0.500  0.39
Sc: 0.875 0.125 0.750  0.12
Sc: 0.875 0.125 0.250  0.12
K: 0.250 0.750 0.500  0.01
Cr: 0.000 0.000 0.000  0.39
K: 0.500 0.500 0.000  0.01
Sc: 0.875 0.625 0.250  0.15
Sc: 0.375 0.125 0.750  0.10

Record 12
Here is crystalline K2ScCr at its relaxed geometry from Alexandria via LeMat-Bulk. Energies are from PBE.

For the size of the total moment, the calculation gives 5.30 Bohr magnetons per cell. The formation energy is 1.00 eV per atom. The crystal system is tetragonal. The calculation puts the calculated total energy at -3.54 eV/atom.

Lattice parameters (Å, degrees): 3.380 3.380 12.411 90.00 90.00 90.00
Site moments in Bohr magnetons follow the coordinates.
Fractional coordinates of all 4 atoms:
K: 0.000 0.000 0.980  0.01
Sc: 0.500 0.500 0.250  0.27
Cr: 0.500 0.500 0.750  4.10
K: 0.000 0.000 0.520  0.01

Record 13
Here is crystalline KSc2Cr at its relaxed geometry from Alexandria via LeMat-Bulk. Energies are from PBE.

For the size of the total moment, the calculation gives 4.09 Bohr magnetons per cell. The formation energy is 0.96 eV per atom. The crystal system is cubic. The calculation puts the calculated total energy at -4.89 eV/atom.

Lattice parameters (Å, degrees): 5.322 5.322 5.322 60.00 60.00 60.00
Site moments in Bohr magnetons follow the coordinates.
Fractional coordinates of all 4 atoms:
K: 0.750 0.750 0.750  0.01
Sc: 0.000 0.000 0.000  -0.24
Cr: 0.500 0.500 0.500  3.75
Sc: 0.250 0.250 0.250  -0.07

Record 14
Here is crystalline KSc2Cr at its relaxed geometry from Alexandria via LeMat-Bulk. Energies are from PBE.

For the size of the total moment, the calculation gives 2.25 Bohr magnetons per cell. The formation energy is 0.93 eV per atom. The crystal system is tetragonal. The calculation puts the calculated total energy at -4.92 eV/atom.

Lattice parameters (Å, degrees): 5.954 5.954 5.954 134.42 134.42 66.43
Site moments in Bohr magnetons follow the coordinates.
Fractional coordinates of all 4 atoms:
K: 0.750 0.250 0.500  -0.02
Sc: 0.000 0.000 0.000  -0.55
Sc: 0.250 0.750 0.500  -0.59
Cr: 0.500 0.500 0.000  3.67

Record 15
Here is crystalline KSc2Cr at its relaxed geometry from Alexandria via LeMat-Bulk. Energies are from PBE.

For the size of the total moment, the calculation gives 3.00 Bohr magnetons per cell. The formation energy is 0.60 eV per atom. The crystal system is trigonal. The calculation puts the calculated total energy at -5.25 eV/atom.

Lattice parameters (Å, degrees): 11.412 11.412 11.412 16.54 16.54 16.54
Site moments in Bohr magnetons follow the coordinates.
Fractional coordinates of all 4 atoms:
Cr: 0.500 0.500 0.500  2.48
K: 0.000 0.000 0.000  0.02
Sc: 0.894 0.894 0.894  0.03
Sc: 0.106 0.106 0.106  0.03